Here is an optimized crystal structure of BaMn2Be from Alexandria via LeMat-Bulk. Energies are from PBE.

The value obtained for the energy of formation from the pure elements is 0.528 eV per atom.

The space group is P4mm (No. 99) and the conventional cell measures 3.1619, 3.1619 and 7.5663 Å, with angles of 90.00, 90.00 and 90.00 degrees. The inequivalent atoms are Ba at (0.0000, 0.0000, 0.0000), Mn at (0.0000, 0.0000, 0.4744), Mn at (0.5000, 0.5000, 0.6343) and Be at (0.5000, 0.5000, 0.3276).



Here is an optimized crystal structure of Ca3MgP from Alexandria via LeMat-Bulk. Energies are from PBE.

The value obtained for the energy of formation from the pure elements is -0.081 eV per atom. Its relative energy among the computed polymorphs is 0.485 eV per atom.

The space group is I-4m2 (No. 119) and the conventional cell measures 6.5347, 6.5347 and 18.2244 Å, with angles of 90.00, 90.00 and 90.00 degrees. The inequivalent atoms are Ca at (0.0000, 0.0000, 0.2149), Ca at (0.0000, 0.2510, 0.6164), Mg at (0.0000, 0.5000, 0.1620), P at (0.0000, 0.0000, 0.5000) and P at (0.0000, 0.5000, 0.7500).



Here is an optimized crystal structure of Pm2HoIO8 from Alexandria via LeMat-Bulk. Energies are from PBE.

The raw formation energy is -2.28 eV per atom.

The space group is Cmmm (No. 65) and the conventional cell measures 7.1886, 7.3333 and 6.9192 Å, with angles of 90.00, 90.00 and 90.00 degrees. The inequivalent atoms are Pm at (0.0000, 0.0000, 0.2502), Ho at (0.0000, 0.5000, 0.0000), I at (0.0000, 0.5000, 0.5000), O at (0.0000, 0.3241, 0.2929), O at (0.1972, 0.0000, 0.0000) and O at (0.2374, 0.0000, 0.5000).



Here is an optimized crystal structure of IrOsAu2 from Alexandria via LeMat-Bulk. Energies are from PBE.

The value obtained for the energy of formation from the pure elements is 0.691 eV per atom. Its relative energy among the computed polymorphs is 0.455 eV per atom.

The space group is Cmmm (No. 65) and the conventional cell measures 5.6524, 8.1507 and 2.7861 Å, with angles of 90.00, 90.00 and 90.00 degrees. The inequivalent atoms are Ir at (0.0000, 0.0000, 0.0000), Os at (0.0000, 0.5000, 0.0000) and Au at (0.2500, 0.2500, 0.5000).



Here is an optimized crystal structure of AsW2Cl from Alexandria via LeMat-Bulk. Energies are from PBE.

Its relative energy among the computed polymorphs is 0.661 eV per atom. The raw formation energy is 0.65 eV per atom.

The space group is C2/m (No. 12) and the conventional cell measures 8.3286, 3.0026 and 5.2356 Å, with angles of 90.00, 102.73 and 90.00 degrees. The inequivalent atoms are As at (0.0000, 0.0000, 0.0000), W at (0.2442, 0.5000, 0.2372) and Cl at (0.0000, 0.5000, 0.5000).



Here is an optimized crystal structure of Tb12DyEr6 from Alexandria via LeMat-Bulk. Energies are from PBE.

The value obtained for the energy of formation from the pure elements is 0.153 eV per atom. Its relative energy among the computed polymorphs is 0.000 eV per atom.

The space group is R-3 (No. 148, hexagonal axes) and the conventional cell measures 11.8387, 11.8387 and 15.0737 Å, with angles of 90.00, 90.00 and 120.00 degrees. The inequivalent atoms are Tb at (0.0114, 0.1787, 0.1911), Tb at (0.0427, 0.1924, 0.4160), Dy at (0.0000, 0.0000, 0.0000) and Er at (0.0116, 0.5873, 0.6823).